RbBaNa | PBE | relaxed

Computed properties:
- SG = C2/m

Cell lengths 10.9501, 4.4633, 16.2633 Å; angles 90.00, 108.33, 90.00 degrees
Closest atoms and distances in Å follow each position.
Sites, in units of the cell vectors:
Ba 0.5304 0.5000 0.1348  4 Na 4.11-4.12, 5 Ba 4.22-4.59
Rb 0.1108 0.0000 0.6596  5 Na 4.36-4.79, 2 Rb 4.46, 3 Ba 4.74-4.83
Rb 0.8892 0.0000 0.3404  5 Na 4.36-4.79, 2 Rb 4.46, 3 Ba 4.74-4.83
Rb 0.8892 0.5000 0.8404  5 Na 4.36-4.79, 2 Rb 4.46, 3 Ba 4.74-4.83
Ba 0.4696 0.0000 0.3652  4 Na 4.11-4.12, 5 Ba 4.22-4.59
Na 0.7608 0.5000 0.5306  4 Ba 4.11-4.12, 4 Rb 4.36-4.39, 2 Na 4.46
Na 0.2392 0.5000 0.4694  4 Ba 4.11-4.12, 4 Rb 4.36-4.39, 2 Na 4.46
Na 0.2392 0.0000 0.9694  4 Ba 4.11-4.12, 4 Rb 4.36-4.39, 2 Na 4.46
Ba 0.5304 0.0000 0.6348  4 Na 4.11-4.12, 5 Ba 4.22-4.59
Rb 0.1108 0.5000 0.1596  5 Na 4.36-4.79, 2 Rb 4.46, 3 Ba 4.74-4.83
Na 0.7608 0.0000 0.0306  4 Ba 4.11-4.12, 4 Rb 4.36-4.39, 2 Na 4.46
Ba 0.4696 0.5000 0.8652  4 Na 4.11-4.12, 5 Ba 4.22-4.59

Ho4AlSn | PBE | relaxed

Computed properties:
- SG = Fddd

Cell lengths 7.1739, 7.1733, 8.7788 Å; angles 114.14, 114.14, 89.95 degrees
Closest atoms and distances in Å follow each position.
Sites, in units of the cell vectors:
Al 0.3750 0.6250 0.2499  8 Ho 3.06-3.07
Sn 0.8750 0.1250 0.2501  8 Ho 3.15
Ho 0.5000 0.7402 0.0004  2 Al 3.06-3.07, 2 Sn 3.15
Al 0.6250 0.3750 0.7501  8 Ho 3.06-3.07
Ho 0.7400 0.0002 0.5002  2 Al 3.06-3.07, 2 Sn 3.15
Ho 0.2600 0.9998 0.4998  2 Al 3.06-3.07, 2 Sn 3.15
Ho 0.5000 0.2598 0.9996  2 Al 3.06-3.07, 2 Sn 3.15
Ho 0.0004 0.2602 0.0004  2 Al 3.06-3.07, 2 Sn 3.15
Ho 0.2601 0.5000 0.5002  2 Al 3.06-3.07, 2 Sn 3.15
Ho 0.7399 0.5000 0.4998  2 Al 3.06-3.07, 2 Sn 3.15
Ho 0.9996 0.7398 0.9996  2 Al 3.06-3.07, 2 Sn 3.15
Sn 0.1250 0.8750 0.7499  8 Ho 3.15

AcPrHo2P4 | PBE | relaxed

Computed properties:
- SG = P2/m

Cell lengths 4.1602, 7.2040, 7.2088 Å; angles 70.58, 90.00, 90.00 degrees
Closest atoms and distances in Å follow each position.
Sites, in units of the cell vectors:
Pr 0.0000 0.5000 0.5000  6 P 3.00
Ac 0.5000 0.5000 0.0000  6 P 3.04
P 0.5000 0.7667 0.2495  3 Ho 2.85-2.89, 2 Pr 3.00, 1 Ac 3.04
P 0.5000 0.2333 0.7505  3 Ho 2.85-2.89, 2 Pr 3.00, 1 Ac 3.04
P 0.0000 0.2290 0.2623  3 Ho 2.85-2.89, 1 Pr 3.00, 2 Ac 3.04
P 0.0000 0.7710 0.7377  3 Ho 2.85-2.89, 1 Pr 3.00, 2 Ac 3.04
Ho 0.0000 0.0000 0.0000  6 P 2.89
Ho 0.5000 0.0000 0.5000  6 P 2.85

Rb2SnOsRu | PBE | relaxed

Computed properties:
- SG = P4/mmm

Cell lengths 6.7365, 4.9824, 6.7365 Å; angles 90.00, 90.00, 90.00 degrees
Closest atoms and distances in Å follow each position.
Sites, in units of the cell vectors:
Rb 0.0000 0.0000 0.5000  2 Sn 3.37
Os 0.0000 0.5000 0.0000  2 Sn 2.49
Ru 0.5000 0.5000 0.5000  8 Rb 4.19
Rb 0.5000 0.0000 0.0000  2 Sn 3.37
Sn 0.0000 0.0000 0.0000  2 Os 2.49

Number 1: energy relative to the elements 0.057 eV/atom, size of the total moment 0.0 μB/f.u.. Number 2: energy relative to the elements -0.215 eV/atom, size of the total moment 0.0 μB/f.u.. Number 3: energy relative to the elements -1.511 eV/atom, size of the total moment 0.0 μB/f.u.. Number 4: energy relative to the elements 1.901 eV/atom, size of the total moment 4.5 μB/f.u..